# Ce3GaHg2 (PBE, relaxed)
data_Ce3GaHg2
_chemical_formula_sum 'Ce3 Ga1 Hg2'
_cell_length_a 3.301
_cell_length_b 3.301
_cell_length_c 13.616
_cell_angle_alpha 90.00
_cell_angle_beta 90.00
_cell_angle_gamma 90.00
_symmetry_space_group_name_H-M 'P 4/m m m'
_symmetry_Int_Tables_number 123
_symmetry_space_group_name_Hall '-P 4 2'
loop_
_atom_site_label
_atom_site_type_symbol
_atom_site_fract_x
_atom_site_fract_y
_atom_site_fract_z
Ce1 Ce 0.000 0.000 0.000
Ce2 Ce 0.000 0.000 0.347
Ga1 Ga 0.500 0.500 0.500
Hg1 Hg 0.500 0.500 0.172
# E_form, meV/atom: -367.4
# Uncorrected energy, eV per atom: -3.94
# Spin magnetization, μB per cell: 1.2